# 1
A relaxed NdPbAuS3 crystal, computed with PBE-GGA.

Space group: Pnma (62)
Energy above the lowest structure with this stoichiometry: 0.08 eV per formula unit

abc: 13.465 4.064 10.920
angles: 90.00 90.00 90.00
Fractional coordinates of all 24 atoms:
S  0.392  0.750  0.941
S  0.360  0.250  0.265
S  0.608  0.250  0.059
Au  0.513  0.250  0.402
S  0.892  0.750  0.559
S  0.860  0.250  0.235
S  0.374  0.250  0.625
S  0.640  0.750  0.735
Nd  0.490  0.750  0.173
S  0.874  0.250  0.875
Pb  0.777  0.750  0.053
Nd  0.510  0.250  0.827
Nd  0.990  0.750  0.327
Pb  0.277  0.750  0.447
Pb  0.223  0.250  0.947
S  0.626  0.750  0.375
Au  0.013  0.250  0.098
Au  0.987  0.750  0.902
Nd  0.010  0.250  0.673
S  0.108  0.250  0.441
S  0.126  0.750  0.125
Pb  0.723  0.250  0.553
Au  0.487  0.750  0.598
S  0.140  0.750  0.765

=====

# 2
A relaxed NdPbAuSe2S crystal, computed with PBE-GGA.

Space group: Cmcm (63)

abc: 7.222 7.222 10.609
angles: 90.00 90.00 146.47
Fractional coordinates of all 12 atoms:
Pb  0.750  0.250  0.750
Se  0.350  0.650  0.940
Nd  0.000  0.000  0.500
Se  0.350  0.650  0.560
Au  0.527  0.473  0.250
Se  0.650  0.350  0.440
Nd  0.000  0.000  0.000
Se  0.650  0.350  0.060
Pb  0.250  0.750  0.250
Au  0.473  0.527  0.750
S  0.914  0.086  0.250
S  0.086  0.914  0.750

=====

| no. | calculated total energy (eV/atom) |
| --- | --- |
| 1 | -4.97 |
| 2 | -4.75 |